Below is crystalline SrCeSiN3 at its relaxed geometry, with properties calculated at the GGA-PBE level.

Structure (CIF):
```
data_SrCeSiN3
_chemical_formula_sum 'Sr4 Ce4 Si4 N12'
_cell_length_a 12.8498
_cell_length_b 3.7872
_cell_length_c 7.2551
_cell_angle_alpha 90.00
_cell_angle_beta 106.46
_cell_angle_gamma 90.00
_symmetry_space_group_name_H-M 'C 1 2/m 1'
_symmetry_Int_Tables_number 12
_symmetry_space_group_name_Hall '-C 2y'
loop_
_atom_site_label
_atom_site_type_symbol
_atom_site_fract_x
_atom_site_fract_y
_atom_site_fract_z
Sr1 Sr 0.1433 0.0000 0.0695
Ce1 Ce 0.1488 0.0000 0.5765
Si1 Si 0.0023 0.5000 0.2443
N1 N 0.0040 0.0000 0.2817
N2 N 0.1453 0.5000 0.7893
N3 N 0.1540 0.5000 0.3516
```

Calculated values
- DOS at the Fermi energy (states/eV/f.u.) = 0.04
- crystal system = monoclinic
- formation energy from raw total energies (eV/atom) = -1.012
- spin magnetization (μB per formula unit) = 0.00
- mass density (g/cm³) = 5.84